Record 1
# LaTe3Os (PBE, relaxed)
# Total moment, μB per cell: 1.09
# Formation energy without anion corrections, eV/atom: -0.080
# Crystal system: cubic
data_LaTe3Os
_chemical_formula_sum 'La1 Te3 Os1'
_space_group_name_H-M_alt 'P 1'
_space_group_IT_number 1
_cell_length_a 5.2939
_cell_length_b 5.2939
_cell_length_c 5.2939
_cell_angle_alpha 90.00
_cell_angle_beta 90.00
_cell_angle_gamma 90.00
loop_
_space_group_symop_operation_xyz
'x,y,z'
loop_
_atom_site_label
_atom_site_type_symbol
_atom_site_fract_x
_atom_site_fract_y
_atom_site_fract_z
_atom_site_occupancy
Te1 Te 0.0000 0.5000 0.0000 1
La1 La 0.5000 0.5000 0.5000 1
Os1 Os 0.0000 0.0000 0.0000 1
Te2 Te 0.0000 0.0000 0.5000 1
Te3 Te 0.5000 0.0000 0.0000 1

Record 2
# SmZnS (PBE, relaxed)
# Total moment, μB per cell: 0.00
# Formation energy without anion corrections, eV/atom: -1.132
# Crystal system: trigonal
data_SmZnS
_chemical_formula_sum 'Sm2 Zn2 S2'
_space_group_name_H-M_alt 'P 1'
_space_group_IT_number 1
_cell_length_a 4.4911
_cell_length_b 4.4911
_cell_length_c 9.3500
_cell_angle_alpha 90.00
_cell_angle_beta 90.00
_cell_angle_gamma 120.00
loop_
_space_group_symop_operation_xyz
'x,y,z'
loop_
_atom_site_label
_atom_site_type_symbol
_atom_site_fract_x
_atom_site_fract_y
_atom_site_fract_z
_atom_site_occupancy
Sm1 Sm 0.0000 0.0000 0.8005 1
Zn1 Zn 0.6667 0.3333 0.9855 1
Zn2 Zn 0.3333 0.6667 0.0145 1
Sm2 Sm 0.0000 0.0000 0.1995 1
S1 S 0.3333 0.6667 0.2970 1
S2 S 0.6667 0.3333 0.7030 1

Record 3
# LaTbNd4Ho2 (PBE, relaxed)
# Total moment, μB per cell: 0.00
# Crystal system: monoclinic
# Uncorrected energy, eV/atom: -4.70
data_LaTbNd4Ho2
_chemical_formula_sum 'La1 Tb1 Nd4 Ho2'
_space_group_name_H-M_alt 'P 1'
_space_group_IT_number 1
_cell_length_a 3.6507
_cell_length_b 12.0268
_cell_length_c 6.2858
_cell_angle_alpha 79.84
_cell_angle_beta 90.00
_cell_angle_gamma 90.00
loop_
_space_group_symop_operation_xyz
'x,y,z'
loop_
_atom_site_label
_atom_site_type_symbol
_atom_site_fract_x
_atom_site_fract_y
_atom_site_fract_z
_atom_site_occupancy
Ho1 Ho 0.5000 0.0000 0.5000 1
Nd1 Nd 0.0000 0.7550 0.7481 1
Nd2 Nd 0.5000 0.2470 0.7506 1
Tb1 Tb 0.0000 0.5000 0.5000 1
Nd3 Nd 0.0000 0.2450 0.2519 1
Ho2 Ho 0.0000 0.0000 0.0000 1
La1 La 0.5000 0.5000 0.0000 1
Nd4 Nd 0.5000 0.7530 0.2494 1

Record 4
# SbP2CS (PBE, relaxed)
# Total moment, μB per cell: 0.36
# Formation energy without anion corrections, eV/atom: 2.368
# Crystal system: tetragonal
data_SbP2CS
_chemical_formula_sum 'Sb1 P2 C1 S1'
_space_group_name_H-M_alt 'P 1'
_space_group_IT_number 1
_cell_length_a 5.1644
_cell_length_b 5.1644
_cell_length_c 4.9351
_cell_angle_alpha 90.00
_cell_angle_beta 90.00
_cell_angle_gamma 90.00
loop_
_space_group_symop_operation_xyz
'x,y,z'
loop_
_atom_site_label
_atom_site_type_symbol
_atom_site_fract_x
_atom_site_fract_y
_atom_site_fract_z
_atom_site_occupancy
C1 C 0.5000 0.5000 0.5000 1
Sb1 Sb 0.0000 0.0000 0.0000 1
P1 P 0.5000 0.0000 0.0000 1
S1 S 0.0000 0.0000 0.5000 1
P2 P 0.0000 0.5000 0.0000 1

Record 5
# TbYTcHg (PBE, relaxed)
# Total moment, μB per cell: 0.00
# Crystal system: cubic
# Uncorrected energy, eV/atom: -5.59
data_TbYTcHg
_chemical_formula_sum 'Tb1 Y1 Tc1 Hg1'
_space_group_name_H-M_alt 'P 1'
_space_group_IT_number 1
_cell_length_a 5.0536
_cell_length_b 5.0536
_cell_length_c 5.0536
_cell_angle_alpha 60.00
_cell_angle_beta 60.00
_cell_angle_gamma 60.00
loop_
_space_group_symop_operation_xyz
'x,y,z'
loop_
_atom_site_label
_atom_site_type_symbol
_atom_site_fract_x
_atom_site_fract_y
_atom_site_fract_z
_atom_site_occupancy
Tc1 Tc 0.0000 0.0000 0.0000 1
Hg1 Hg 0.5000 0.5000 0.5000 1
Tb1 Tb 0.7500 0.7500 0.7500 1
Y1 Y 0.2500 0.2500 0.2500 1

Record 6
# Pr2Nb2N5 (PBE, relaxed)
# Total moment, μB per cell: 0.00
# Formation energy without anion corrections, eV/atom: -1.110
# Crystal system: monoclinic
data_Pr2Nb2N5
_chemical_formula_sum 'Pr2 Nb2 N5'
_space_group_name_H-M_alt 'P 1'
_space_group_IT_number 1
_cell_length_a 4.2612
_cell_length_b 6.1118
_cell_length_c 5.8899
_cell_angle_alpha 110.81
_cell_angle_beta 90.00
_cell_angle_gamma 110.40
loop_
_space_group_symop_operation_xyz
'x,y,z'
loop_
_atom_site_label
_atom_site_type_symbol
_atom_site_fract_x
_atom_site_fract_y
_atom_site_fract_z
_atom_site_occupancy
Nb1 Nb 0.1551 0.3103 0.8828 1
N1 N 0.0000 0.0000 0.0000 1
N2 N 0.3500 0.7000 0.0843 1
N3 N 0.1591 0.3181 0.5608 1
N4 N 0.6500 0.3000 0.9157 1
Pr1 Pr 0.3927 0.7854 0.6791 1
Nb2 Nb 0.8449 0.6897 0.1172 1
N5 N 0.8409 0.6819 0.4392 1
Pr2 Pr 0.6073 0.2146 0.3209 1

Record 7
# Tb5Nd4Y2 (PBE, relaxed)
# Total moment, μB per cell: 0.00
# Crystal system: monoclinic
# Uncorrected energy, eV/atom: -4.91
data_Tb5Nd4Y2
_chemical_formula_sum 'Tb5 Nd4 Y2'
_space_group_name_H-M_alt 'P 1'
_space_group_IT_number 1
_cell_length_a 5.7034
_cell_length_b 6.6610
_cell_length_c 10.0805
_cell_angle_alpha 91.14
_cell_angle_beta 106.43
_cell_angle_gamma 90.00
loop_
_space_group_symop_operation_xyz
'x,y,z'
loop_
_atom_site_label
_atom_site_type_symbol
_atom_site_fract_x
_atom_site_fract_y
_atom_site_fract_z
_atom_site_occupancy
Tb1 Tb 0.1302 0.8954 0.2605 1
Nd1 Nd 0.6948 0.0712 0.3896 1
Tb2 Tb 0.5000 0.0000 0.0000 1
Nd2 Nd 0.9812 0.7127 0.9624 1
Nd3 Nd 0.0188 0.2873 0.0376 1
Tb3 Tb 0.7916 0.5973 0.5832 1
Nd4 Nd 0.3052 0.9288 0.6104 1
Tb4 Tb 0.8698 0.1046 0.7395 1
Y1 Y 0.5974 0.5520 0.1949 1
Y2 Y 0.4026 0.4480 0.8051 1
Tb5 Tb 0.2084 0.4027 0.4168 1

Record 8
# InGa2H2 (PBE, relaxed)
# Total moment, μB per cell: 0.00
# Crystal system: tetragonal
# Uncorrected energy, eV/atom: -2.83
data_InGa2H2
_chemical_formula_sum 'In1 Ga2 H2'
_space_group_name_H-M_alt 'P 1'
_space_group_IT_number 1
_cell_length_a 3.4152
_cell_length_b 3.4152
_cell_length_c 6.8655
_cell_angle_alpha 75.60
_cell_angle_beta 75.60
_cell_angle_gamma 90.00
loop_
_space_group_symop_operation_xyz
'x,y,z'
loop_
_atom_site_label
_atom_site_type_symbol
_atom_site_fract_x
_atom_site_fract_y
_atom_site_fract_z
_atom_site_occupancy
Ga1 Ga 0.3383 0.3383 0.3234 1
Ga2 Ga 0.6617 0.6617 0.6766 1
H1 H 0.7500 0.2500 0.5000 1
H2 H 0.2500 0.7500 0.5000 1
In1 In 0.0000 0.0000 0.0000 1

Record 9
# Ga2Ag4Au3 (PBE, relaxed)
# Total moment, μB per cell: 0.00
# Crystal system: monoclinic
# Uncorrected energy, eV/atom: -3.10
data_Ga2Ag4Au3
_chemical_formula_sum 'Ga2 Ag4 Au3'
_space_group_name_H-M_alt 'P 1'
_space_group_IT_number 1
_cell_length_a 3.7831
_cell_length_b 6.9219
_cell_length_c 6.8195
_cell_angle_alpha 110.20
_cell_angle_beta 106.10
_cell_angle_gamma 90.00
loop_
_space_group_symop_operation_xyz
'x,y,z'
loop_
_atom_site_label
_atom_site_type_symbol
_atom_site_fract_x
_atom_site_fract_y
_atom_site_fract_z
_atom_site_occupancy
Ag1 Ag 0.7844 0.6664 0.5688 1
Ga1 Ga 0.6546 0.0096 0.3092 1
Au1 Au 0.0000 0.0000 0.0000 1
Ag2 Ag 0.4444 0.6417 0.8887 1
Au2 Au 0.8710 0.2862 0.7420 1
Ag3 Ag 0.2156 0.3336 0.4312 1
Au3 Au 0.1290 0.7138 0.2580 1
Ag4 Ag 0.5556 0.3583 0.1113 1
Ga2 Ga 0.3454 0.9904 0.6908 1

Record 10
# LaPmAl6 (PBE, relaxed)
# Total moment, μB per cell: 0.00
# Crystal system: hexagonal
# Uncorrected energy, eV/atom: -4.46
data_LaPmAl6
_chemical_formula_sum 'La1 Pm1 Al6'
_space_group_name_H-M_alt 'P 1'
_space_group_IT_number 1
_cell_length_a 4.6526
_cell_length_b 6.5440
_cell_length_c 6.5440
_cell_angle_alpha 119.94
_cell_angle_beta 90.00
_cell_angle_gamma 90.00
loop_
_space_group_symop_operation_xyz
'x,y,z'
loop_
_atom_site_label
_atom_site_type_symbol
_atom_site_fract_x
_atom_site_fract_y
_atom_site_fract_z
_atom_site_occupancy
Al1 Al 0.5000 0.4680 0.1093 1
Pm1 Pm 0.0000 0.0835 0.9165 1
Al2 Al 0.0000 0.0285 0.3891 1
Al3 Al 0.5000 0.8907 0.5320 1
Al4 Al 0.5000 0.8912 0.1088 1
Al5 Al 0.0000 0.6109 0.9715 1
Al6 Al 0.0000 0.6104 0.3896 1
La1 La 0.5000 0.4164 0.5836 1

Record 11
# BaPbS (PBE, relaxed)
# Total moment, μB per cell: 0.00
# Formation energy without anion corrections, eV/atom: -1.084
# Crystal system: tetragonal
data_BaPbS
_chemical_formula_sum 'Ba2 Pb2 S2'
_space_group_name_H-M_alt 'P 1'
_space_group_IT_number 1
_cell_length_a 4.4808
_cell_length_b 4.4808
_cell_length_c 10.7567
_cell_angle_alpha 90.00
_cell_angle_beta 90.00
_cell_angle_gamma 90.00
loop_
_space_group_symop_operation_xyz
'x,y,z'
loop_
_atom_site_label
_atom_site_type_symbol
_atom_site_fract_x
_atom_site_fract_y
_atom_site_fract_z
_atom_site_occupancy
S1 S 0.0000 0.5000 0.6442 1
Pb1 Pb 0.5000 0.5000 0.0000 1
S2 S 0.5000 0.0000 0.3558 1
Pb2 Pb 0.0000 0.0000 0.0000 1
Ba1 Ba 0.5000 0.0000 0.6479 1
Ba2 Ba 0.0000 0.5000 0.3521 1

Record 12
# Ce8Os6Pb (PBE, relaxed)
# Total moment, μB per cell: 0.00
# Crystal system: trigonal
# Uncorrected energy, eV/atom: -8.03
data_Ce8Os6Pb
_chemical_formula_sum 'Ce8 Os6 Pb1'
_space_group_name_H-M_alt 'P 1'
_space_group_IT_number 1
_cell_length_a 4.0768
_cell_length_b 10.1868
_cell_length_c 10.1868
_cell_angle_alpha 120.00
_cell_angle_beta 90.00
_cell_angle_gamma 90.00
loop_
_space_group_symop_operation_xyz
'x,y,z'
loop_
_atom_site_label
_atom_site_type_symbol
_atom_site_fract_x
_atom_site_fract_y
_atom_site_fract_z
_atom_site_occupancy
Ce1 Ce 0.2407 0.7243 0.6701 1
Os1 Os 0.7454 0.0909 0.4725 1
Ce2 Ce 0.7593 0.0543 0.7243 1
Ce3 Ce 0.2407 0.9457 0.2757 1
Os2 Os 0.2546 0.6184 0.0909 1
Ce4 Ce 0.7454 0.6667 0.3333 1
Os3 Os 0.2546 0.9091 0.5275 1
Os4 Os 0.7454 0.3816 0.9091 1
Pb1 Pb 0.5000 0.0000 0.0000 1
Ce5 Ce 0.2407 0.3299 0.0543 1
Ce6 Ce 0.7593 0.2757 0.3299 1
Ce7 Ce 0.7593 0.6701 0.9457 1
Os5 Os 0.7454 0.5275 0.6184 1
Ce8 Ce 0.2546 0.3333 0.6667 1
Os6 Os 0.2546 0.4725 0.3816 1